VASP calculation (PBE-GGA) on ZnNi2Ge after structural relaxation.

Summary:
Energy relative to the elements in meV per atom: -217
Excess energy over the best structure of this formula in the dataset in meV/atom: 12

Cell and atoms, written as extended XYZ:
```
4
Lattice="3.0501 0.0000 0.0000 0.0000 4.0253 0.0000 0.0000 0.0000 4.0253" Properties=species:S:1:pos:R:3 pbc="T T T"
Ni 0.0000 2.0126 0.0000
Ni 0.0000 0.0000 2.0126
Ge 1.5251 0.0000 0.0000
Zn 1.5251 2.0126 2.0126
```

VASP calculation (PBE-GGA) on ZnNi4Ge2 after structural relaxation.

Summary:
Energy relative to the elements in meV per atom: 471
Excess energy over the best structure of this formula in the dataset in meV/atom: 678

Cell and atoms, written as extended XYZ:
```
7
Lattice="-0.6601 -4.2075 0.3267 -0.1627 -0.3051 -4.2575 5.5223 -3.1996 -2.1245" Properties=species:S:1:pos:R:3 pbc="T T T"
Ni 3.2101 -2.8320 -2.0625
Ni -0.0813 -0.1525 -2.1287
Ni -0.3300 -2.1037 0.1634
Ni 1.4894 -4.8801 -3.9927
Zn 0.0000 0.0000 0.0000
Ge 3.7159 -5.2341 -4.0524
Ge 0.9836 -2.4781 -2.0028
```

VASP calculation (PBE-GGA) on ZnNi7Ge3 after structural relaxation.

Summary:
Energy relative to the elements in meV per atom: -71

Cell and atoms, written as extended XYZ:
```
11
Lattice="-0.8886 -1.7686 4.4317 -0.6806 -3.7203 -5.1469 6.0086 0.6029 -2.0803" Properties=species:S:1:pos:R:3 pbc="T T T"
Ni 1.2412 -4.4187 -2.7616
Ni 3.1982 -0.4673 -0.0338
Ni -0.3410 -2.7547 -1.6563
Ni 2.6640 -1.5587 -3.6136
Ni 0.7001 -1.1681 0.1197
Ni 4.7804 -2.1313 -1.1391
Ni 3.7393 -3.7179 -2.9151
Ge 4.4866 -0.3807 -2.7780
Ge -0.4443 -0.8843 2.2159
Ge 0.8414 -2.7366 -4.4491
Zn 2.2197 -2.4430 -1.3977
```

VASP calculation (PBE-GGA) on ZnNiGe2 after structural relaxation.

Summary:
Energy relative to the elements in meV per atom: 86

Cell and atoms, written as extended XYZ:
```
8
Lattice="4.0684 0.0000 0.0000 0.0000 4.0684 0.0000 2.0342 2.0342 7.9917" Properties=species:S:1:pos:R:3 pbc="T T T"
Ge 1.1475 3.0513 1.9979
Ge 2.9209 1.0171 1.9979
Ge 3.0513 3.1817 5.9938
Ge 5.0855 4.9551 5.9938
Ni 2.0342 2.0342 0.0000
Ni 2.0342 4.0684 3.9959
Zn 0.0000 0.0000 0.0000
Zn 4.0684 2.0342 3.9959
```

VASP calculation (PBE-GGA) on Zn2Ni3Ge after structural relaxation.

Summary:
Energy relative to the elements in meV per atom: -248

Cell and atoms, written as extended XYZ:
```
12
Lattice="-2.1510 0.8778 1.7775 -1.8270 -3.6359 -0.4153 6.2886 -4.2700 9.7185" Properties=species:S:1:pos:R:3 pbc="T T T"
Ni 2.0709 -1.6970 5.7463
Ni -0.0991 -0.2243 2.3998
Ni 4.2350 -3.1672 9.0977
Ni 2.1334 -4.1780 7.0499
Ni -1.9911 -1.3782 0.6829
Ni 0.1789 -2.8509 4.0294
Zn 4.2736 -5.3402 7.8103
Zn -0.1067 -0.5101 4.9350
Zn 2.0948 -2.0050 8.3373
Zn 0.1865 -2.5651 1.4941
Ge -0.0013 0.0005 0.0011
Ge 0.0811 -3.0757 6.4281
```

VASP calculation (PBE-GGA) on Zn2Ni3Ge after structural relaxation.

Summary:
Energy relative to the elements in meV per atom: -258

Cell and atoms, written as extended XYZ:
```
6
Lattice="4.1039 0.0000 0.0000 -2.0520 3.5541 0.0000 0.0000 0.0000 5.0368" Properties=species:S:1:pos:R:3 pbc="T T T"
Zn 2.0520 1.1847 1.7793
Zn 0.0000 2.3694 3.2575
Ni 2.0520 1.1847 4.2970
Ni 0.0000 0.0000 2.5184
Ni 0.0000 2.3694 0.7397
Ge 0.0000 0.0000 0.0000
```